No. 1
# SmSnAu2, optimized geometry, DFT GGA-PBEsol
data_SmSnAu2
_space_group_name_H-M_alt 'P 1'
_space_group_IT_number 1
_cell_length_a 4.9391
_cell_length_b 4.9391
_cell_length_c 4.9391
_cell_angle_alpha 60.00
_cell_angle_beta 60.00
_cell_angle_gamma 60.00
loop_
_space_group_symop_operation_xyz
'x,y,z'
loop_
_atom_site_label
_atom_site_type_symbol
_atom_site_fract_x
_atom_site_fract_y
_atom_site_fract_z
Au1 Au 0.2500 0.2500 0.2500
Au2 Au 0.7500 0.7500 0.7500
Sn1 Sn 0.0000 0.0000 0.0000
Sm1 Sm 0.5000 0.5000 0.5000
# * formation energy from the elements: -709 meV/atom
# * space group: Fm-3m (225)
# * electronic total energy: -0.1841 Ha/atom

No. 2
# KCdW2, optimized geometry, DFT GGA-PBEsol
data_KCdW2
_space_group_name_H-M_alt 'P 1'
_space_group_IT_number 1
_cell_length_a 3.8895
_cell_length_b 3.8895
_cell_length_c 5.9108
_cell_angle_alpha 109.21
_cell_angle_beta 109.21
_cell_angle_gamma 90.00
loop_
_space_group_symop_operation_xyz
'x,y,z'
loop_
_atom_site_label
_atom_site_type_symbol
_atom_site_fract_x
_atom_site_fract_y
_atom_site_fract_z
W1 W 0.2500 0.7500 0.5000
W2 W 0.7500 0.2500 0.5000
K1 K 0.0000 0.0000 0.0000
Cd1 Cd 0.5000 0.5000 0.0000
# * formation energy from the elements: 1642 meV/atom
# * space group: I4/mmm (139)
# * electronic total energy: -0.2148 Ha/atom

No. 3
# ScIr2Rh, optimized geometry, DFT GGA-PBEsol
data_ScIr2Rh
_space_group_name_H-M_alt 'P 1'
_space_group_IT_number 1
_cell_length_a 2.7755
_cell_length_b 4.5264
_cell_length_c 5.0001
_cell_angle_alpha 90.00
_cell_angle_beta 104.09
_cell_angle_gamma 90.00
loop_
_space_group_symop_operation_xyz
'x,y,z'
loop_
_atom_site_label
_atom_site_type_symbol
_atom_site_fract_x
_atom_site_fract_y
_atom_site_fract_z
Sc1 Sc 0.0000 0.5000 0.5000
Ir1 Ir 0.6392 0.0000 0.7680
Ir2 Ir 0.3608 0.0000 0.2320
Rh1 Rh 0.5000 0.5000 0.0000
# * formation energy from the elements: -311 meV/atom
# * space group: P2/m (10)
# * electronic total energy: -0.3274 Ha/atom

No. 4
# Sr4Ta2O9, optimized geometry, DFT GGA-PBEsol
data_Sr4Ta2O9
_space_group_name_H-M_alt 'P 1'
_space_group_IT_number 1
_cell_length_a 5.8599
_cell_length_b 5.8600
_cell_length_c 15.6722
_cell_angle_alpha 90.00
_cell_angle_beta 90.00
_cell_angle_gamma 60.00
loop_
_space_group_symop_operation_xyz
'x,y,z'
loop_
_atom_site_label
_atom_site_type_symbol
_atom_site_fract_x
_atom_site_fract_y
_atom_site_fract_z
O1 O 0.5519 0.4091 0.2500
O2 O 0.2692 0.6509 0.1028
O3 O 0.9205 0.7316 0.8969
O4 O 0.0795 0.2684 0.1031
O5 O 0.6517 0.0789 0.1030
O6 O 0.7308 0.3491 0.8972
O7 O 0.6516 0.0797 0.3971
O8 O 0.0390 0.5517 0.2501
O9 O 0.7312 0.3480 0.6030
O10 O 0.4093 0.0388 0.2502
O11 O 0.9610 0.4483 0.7499
O12 O 0.9206 0.7307 0.6028
O13 O 0.3483 0.9211 0.8970
O14 O 0.5907 0.9612 0.7498
O15 O 0.2688 0.6520 0.3970
O16 O 0.0794 0.2693 0.3972
O17 O 0.3484 0.9203 0.6029
O18 O 0.4481 0.5909 0.7500
Ta1 Ta 0.6667 0.6665 0.6548
Ta2 Ta 0.3333 0.3335 0.3452
Ta3 Ta 0.3335 0.3330 0.1548
Ta4 Ta 0.6665 0.6670 0.8452
Sr1 Sr 0.3333 0.3337 0.8619
Sr2 Sr 0.0000 0.0000 0.5000
Sr3 Sr 0.0000 0.0000 0.0000
Sr4 Sr 0.0001 0.9999 0.2502
Sr5 Sr 0.6667 0.6668 0.3621
Sr6 Sr 0.6667 0.6663 0.1381
Sr7 Sr 0.3333 0.3332 0.6379
Sr8 Sr 0.9999 0.0001 0.7498
# * space group: P-1 (2)
# * polymorph energy (0 for the lowest one): 7 meV/atom
# * electronic total energy: -0.3066 Ha/atom

No. 5
# ReAuO3, optimized geometry, DFT GGA-PBEsol
data_ReAuO3
_space_group_name_H-M_alt 'P 1'
_space_group_IT_number 1
_cell_length_a 4.0142
_cell_length_b 4.0142
_cell_length_c 4.0142
_cell_angle_alpha 90.00
_cell_angle_beta 90.00
_cell_angle_gamma 90.00
loop_
_space_group_symop_operation_xyz
'x,y,z'
loop_
_atom_site_label
_atom_site_type_symbol
_atom_site_fract_x
_atom_site_fract_y
_atom_site_fract_z
O1 O 0.0000 0.5000 0.0000
O2 O 0.0000 0.0000 0.5000
O3 O 0.5000 0.0000 0.0000
Re1 Re 0.5000 0.5000 0.5000
Au1 Au 0.0000 0.0000 0.0000
# * space group: Pm-3m (221)
# * electronic total energy: -0.1994 Ha/atom

No. 6
# Li4Ti3Mn3Te2O16, optimized geometry, DFT GGA-PBEsol
data_Li4Ti3Mn3Te2O16
_space_group_name_H-M_alt 'P 1'
_space_group_IT_number 1
_cell_length_a 5.9321
_cell_length_b 5.9250
_cell_length_c 10.1901
_cell_angle_alpha 90.15
_cell_angle_beta 90.00
_cell_angle_gamma 120.04
loop_
_space_group_symop_operation_xyz
'x,y,z'
loop_
_atom_site_label
_atom_site_type_symbol
_atom_site_fract_x
_atom_site_fract_y
_atom_site_fract_z
O1 O 0.5063 0.5448 0.3425
O2 O 0.3387 0.6773 0.1143
O3 O 0.3146 0.1420 0.0920
O4 O 0.5077 0.0154 0.8577
O5 O 0.9723 0.4805 0.8188
O6 O 0.5082 0.4805 0.8188
O7 O 0.8274 0.1420 0.0920
O8 O 0.0048 0.0096 0.3115
O9 O 0.0385 0.5448 0.3425
O10 O 0.1524 0.8471 0.6087
O11 O 0.6590 0.3179 0.6159
O12 O 0.1697 0.3394 0.5817
O13 O 0.4992 0.9983 0.3152
O14 O 0.0034 0.0068 0.8047
O15 O 0.6947 0.8471 0.6087
O16 O 0.8493 0.6986 0.1185
Ti1 Ti 0.1664 0.8293 0.2197
Ti2 Ti 0.6629 0.8293 0.2197
Ti3 Ti 0.8234 0.6468 0.7192
Li1 Li 0.9931 0.9862 0.9893
Li2 Li 0.0032 0.0063 0.4930
Li3 Li 0.6706 0.3413 0.4002
Li4 Li 0.3241 0.6482 0.8997
Te1 Te 0.6449 0.2898 0.9903
Te2 Te 0.3366 0.6731 0.4936
Mn1 Mn 0.8315 0.1634 0.7130
Mn2 Mn 0.3319 0.1634 0.7130
Mn3 Mn 0.1699 0.3398 0.2139
# * space group: Cm (8)
# * electronic total energy: -0.2759 Ha/atom

No. 7
# MnTeCN2, optimized geometry, DFT GGA-PBEsol
data_MnTeCN2
_space_group_name_H-M_alt 'P 1'
_space_group_IT_number 1
_cell_length_a 3.6657
_cell_length_b 3.6657
_cell_length_c 4.3998
_cell_angle_alpha 90.00
_cell_angle_beta 90.00
_cell_angle_gamma 90.00
loop_
_space_group_symop_operation_xyz
'x,y,z'
loop_
_atom_site_label
_atom_site_type_symbol
_atom_site_fract_x
_atom_site_fract_y
_atom_site_fract_z
Te1 Te 0.0000 0.0000 0.5000
N1 N 0.0000 0.5000 0.0000
N2 N 0.5000 0.0000 0.0000
Mn1 Mn 0.5000 0.5000 0.5000
C1 C 0.0000 0.0000 0.0000
# * space group: P4/mmm (123)
# * polymorph energy (0 for the lowest one): 866 meV/atom
# * electronic total energy: -0.2144 Ha/atom

No. 8
# CaTe2Rh, optimized geometry, DFT GGA-PBEsol
data_CaTe2Rh
_space_group_name_H-M_alt 'P 1'
_space_group_IT_number 1
_cell_length_a 4.1649
_cell_length_b 4.1649
_cell_length_c 6.9602
_cell_angle_alpha 72.59
_cell_angle_beta 72.59
_cell_angle_gamma 60.00
loop_
_space_group_symop_operation_xyz
'x,y,z'
loop_
_atom_site_label
_atom_site_type_symbol
_atom_site_fract_x
_atom_site_fract_y
_atom_site_fract_z
Te1 Te 0.7315 0.7315 0.8056
Te2 Te 0.2685 0.2685 0.1944
Rh1 Rh 0.0000 0.0000 0.0000
Ca1 Ca 0.5000 0.5000 0.5000
# * space group: R-3m (166)
# * polymorph energy (0 for the lowest one): 108 meV/atom
# * electronic total energy: -0.1856 Ha/atom

No. 9
# LiCaTa, optimized geometry, DFT GGA-PBEsol
data_LiCaTa
_space_group_name_H-M_alt 'P 1'
_space_group_IT_number 1
_cell_length_a 2.7307
_cell_length_b 5.1890
_cell_length_c 5.1890
_cell_angle_alpha 120.00
_cell_angle_beta 90.00
_cell_angle_gamma 90.00
loop_
_space_group_symop_operation_xyz
'x,y,z'
loop_
_atom_site_label
_atom_site_type_symbol
_atom_site_fract_x
_atom_site_fract_y
_atom_site_fract_z
Ca1 Ca 0.8334 0.0000 0.0000
Li1 Li 0.8326 0.3333 0.6667
Ta1 Ta 0.3340 0.6667 0.3333
# * formation energy from the elements: 824 meV/atom
# * space group: P-6m2 (187)
# * polymorph energy (0 for the lowest one): 0 meV/atom
# * electronic total energy: -0.1737 Ha/atom

No. 10
# Ta2NiOs, optimized geometry, DFT GGA-PBEsol
data_Ta2NiOs
_space_group_name_H-M_alt 'P 1'
_space_group_IT_number 1
_cell_length_a 3.1918
_cell_length_b 3.1918
_cell_length_c 5.8839
_cell_angle_alpha 90.00
_cell_angle_beta 90.00
_cell_angle_gamma 90.00
loop_
_space_group_symop_operation_xyz
'x,y,z'
loop_
_atom_site_label
_atom_site_type_symbol
_atom_site_fract_x
_atom_site_fract_y
_atom_site_fract_z
Ta1 Ta 0.5000 0.5000 0.2872
Ta2 Ta 0.0000 0.0000 0.9830
Os1 Os 0.5000 0.5000 0.7426
Ni1 Ni 0.0000 0.0000 0.4873
# * formation energy from the elements: -155 meV/atom
# * space group: P4mm (99)
# * polymorph energy (0 for the lowest one): 91 meV/atom
# * electronic total energy: -0.4051 Ha/atom

No. 11
# MnSi2Mo, optimized geometry, DFT GGA-PBEsol
data_MnSi2Mo
_space_group_name_H-M_alt 'P 1'
_space_group_IT_number 1
_cell_length_a 2.7281
_cell_length_b 2.7281
_cell_length_c 8.0694
_cell_angle_alpha 80.27
_cell_angle_beta 80.27
_cell_angle_gamma 60.00
loop_
_space_group_symop_operation_xyz
'x,y,z'
loop_
_atom_site_label
_atom_site_type_symbol
_atom_site_fract_x
_atom_site_fract_y
_atom_site_fract_z
Si1 Si 0.7582 0.7582 0.7254
Si2 Si 0.2418 0.2418 0.2746
Mo1 Mo 0.0000 0.0000 0.0000
Mn1 Mn 0.5000 0.5000 0.5000
# * space group: R-3m (166)
# * electronic total energy: -0.3091 Ha/atom

No. 12
# As2HSe2, optimized geometry, DFT GGA-PBEsol
data_As2HSe2
_space_group_name_H-M_alt 'P 1'
_space_group_IT_number 1
_cell_length_a 4.9035
_cell_length_b 4.9035
_cell_length_c 6.2422
_cell_angle_alpha 113.13
_cell_angle_beta 113.13
_cell_angle_gamma 90.00
loop_
_space_group_symop_operation_xyz
'x,y,z'
loop_
_atom_site_label
_atom_site_type_symbol
_atom_site_fract_x
_atom_site_fract_y
_atom_site_fract_z
As1 As 0.7500 0.2500 0.5000
As2 As 0.2500 0.7500 0.5000
Se1 Se 0.3357 0.3357 0.6715
Se2 Se 0.6643 0.6643 0.3285
H1 H 0.0000 0.0000 0.0000
# * space group: I4/mmm (139)
# * electronic total energy: -0.1308 Ha/atom